Record 1
A plane-wave DFT calculation with PBE-GGA was carried out for a relaxed K2PuRe3O12 crystal.

Properties
VASP energy (eV/atom): -8.18
Energy relative to the elements, uncorrected (meV/atom): -1878

Cell: 7.5001 7.5001 7.5001 Å, 58.88 58.88 58.88°
Closest atoms and distances in Å follow each position.
Fractional coordinates of all 18 atoms:
K (0.1409, 0.1409, 0.1409)  3 O 2.95
K (0.8591, 0.8591, 0.8591)  3 O 2.95
Pu (0.5000, 0.5000, 0.5000)  6 O 2.18
Re (0.0000, 0.5000, 0.5000)  6 O 1.92
Re (0.5000, 0.0000, 0.5000)  6 O 1.92
Re (0.5000, 0.5000, 0.0000)  6 O 1.92
O (0.1491, 0.5787, 0.5787)  1 Re 1.92
O (0.1987, 0.1987, 0.5682)  2 Re 1.92
O (0.1987, 0.5682, 0.1987)  2 Re 1.92
O (0.4213, 0.4213, 0.8509)  1 Re 1.92
O (0.4213, 0.8509, 0.4213)  1 Re 1.92
O (0.4318, 0.8013, 0.8013)  2 Re 1.92
O (0.5682, 0.1987, 0.1987)  2 Re 1.92
O (0.5787, 0.1491, 0.5787)  1 Re 1.92
O (0.5787, 0.5787, 0.1491)  1 Re 1.92
O (0.8013, 0.4318, 0.8013)  2 Re 1.92
O (0.8013, 0.8013, 0.4318)  2 Re 1.92
O (0.8509, 0.4213, 0.4213)  1 Re 1.92

Record 2
A plane-wave DFT calculation with PBE-GGA was carried out for a relaxed LiNiN crystal.

Properties
VASP energy (eV/atom): -5.50
Energy relative to the elements, uncorrected (meV/atom): -156

Cell: 5.6229 5.6229 4.0422 Å, 110.95 110.95 36.22°
Closest atoms and distances in Å follow each position.
Fractional coordinates of all 6 atoms:
Li (0.0823, 0.0823, 0.3318)  3 N 2.07
Li (0.9177, 0.9177, 0.6682)  3 N 2.07
Ni (0.3285, 0.3285, 0.0791)  3 N 1.80-2.00
Ni (0.6715, 0.6715, 0.9209)  3 N 1.80-2.00
N (0.1268, 0.1268, 0.8761)  3 Ni 1.80-2.00
N (0.8732, 0.8732, 0.1239)  3 Ni 1.80-2.00

Record 3
A plane-wave DFT calculation with PBE-GGA was carried out for a relaxed YP3H crystal.

Properties
VASP energy (eV/atom): -5.23

Cell: 4.1874 4.1874 4.1874 Å, 90.00 90.00 90.00°
Closest atoms and distances in Å follow each position.
Fractional coordinates of all 5 atoms:
Y (0.0000, 0.0000, 0.0000)  12 P 2.96
P (0.0000, 0.5000, 0.5000)  2 H 2.09
P (0.5000, 0.0000, 0.5000)  2 H 2.09
P (0.5000, 0.5000, 0.0000)  2 H 2.09
H (0.5000, 0.5000, 0.5000)  6 P 2.09

Record 4
A plane-wave DFT calculation with PBE-GGA was carried out for a relaxed PmGa2I6 crystal.

Properties
VASP energy (eV/atom): -2.97
Energy relative to the elements, uncorrected (meV/atom): -732

Cell: 10.3467 10.3467 9.3271 Å, 105.30 105.30 90.93°
Closest atoms and distances in Å follow each position.
Fractional coordinates of all 18 atoms:
Pm (0.0701, 0.9299, 0.7500)  6 I 3.00-3.25
Pm (0.9299, 0.0701, 0.2500)  6 I 3.00-3.25
Ga (0.2258, 0.4257, 0.7551)  4 I 2.80-3.11
Ga (0.4257, 0.2258, 0.2551)  4 I 2.80-3.11
Ga (0.5743, 0.7742, 0.7449)  4 I 2.80-3.11
Ga (0.7742, 0.5743, 0.2449)  4 I 2.80-3.11
I (0.9997, 0.1896, 0.6236)  1 Ga 3.11, 2 Pm 3.23-3.25
I (0.0003, 0.8104, 0.3764)  1 Ga 3.11, 2 Pm 3.23-3.25
I (0.0267, 0.6404, 0.7433)  1 Pm 3.00, 1 Ga 3.06
I (0.1896, 0.9997, 0.1236)  1 Ga 3.11, 2 Pm 3.23-3.25
I (0.3356, 0.3753, 0.0416)  2 Ga 2.80-2.81
I (0.3596, 0.9733, 0.7567)  1 Pm 3.00, 1 Ga 3.06
I (0.3753, 0.3356, 0.5416)  2 Ga 2.80-2.81
I (0.6247, 0.6644, 0.4584)  2 Ga 2.80-2.81
I (0.6404, 0.0267, 0.2433)  1 Pm 3.00, 1 Ga 3.06
I (0.6644, 0.6247, 0.9584)  2 Ga 2.80-2.81
I (0.8104, 0.0003, 0.8764)  1 Ga 3.11, 2 Pm 3.23-3.25
I (0.9733, 0.3596, 0.2567)  1 Pm 3.00, 1 Ga 3.06

Record 5
A plane-wave DFT calculation with PBE-GGA was carried out for a relaxed LiCePmSc crystal.

Properties
VASP energy (eV/atom): -4.52
ΔH_f (0 K) (meV per atom): 212

Cell: 5.3846 5.3846 5.3846 Å, 60.00 60.00 60.00°
Closest atoms and distances in Å follow each position.
Fractional coordinates of all 4 atoms:
Li (0.0000, 0.0000, 0.0000)  4 Pm 3.30, 4 Ce 3.30
Ce (0.2500, 0.2500, 0.2500)  4 Li 3.30, 4 Sc 3.30
Pm (0.7500, 0.7500, 0.7500)  4 Li 3.30, 4 Sc 3.30
Sc (0.5000, 0.5000, 0.5000)  4 Pm 3.30, 4 Ce 3.30

Record 6
A plane-wave DFT calculation with PBE-GGA was carried out for a relaxed Pr2SbTe5 crystal.

Properties
VASP energy (eV/atom): -4.46
Energy relative to the elements, uncorrected (meV/atom): -783

Cell: 8.2689 8.2689 14.7447 Å, 90.00 90.00 135.92°
Closest atoms and distances in Å follow each position.
Fractional coordinates of all 16 atoms:
Pr (0.1652, 0.8348, 0.5708)  6 Te 3.17-3.23
Pr (0.1652, 0.8348, 0.9292)  6 Te 3.17-3.23
Pr (0.8348, 0.1652, 0.0708)  6 Te 3.17-3.23
Pr (0.8348, 0.1652, 0.4292)  6 Te 3.17-3.23
Sb (0.1652, 0.8348, 0.2500)  6 Te 2.93-3.19
Sb (0.8348, 0.1652, 0.7500)  6 Te 2.93-3.19
Te (0.0396, 0.9604, 0.1003)  1 Sb 2.93, 2 Pr 3.17, 1 Te 3.20
Te (0.0396, 0.9604, 0.3997)  1 Sb 2.93, 2 Pr 3.17, 1 Te 3.20
Te (0.2868, 0.7133, 0.7500)  2 Sb 3.19, 2 Pr 3.23
Te (0.3010, 0.6990, 0.0957)  1 Sb 3.08, 3 Pr 3.17-3.22
Te (0.3010, 0.6990, 0.4043)  1 Sb 3.08, 3 Pr 3.17-3.22
Te (0.6990, 0.3010, 0.5957)  1 Sb 3.08, 3 Pr 3.17-3.22
Te (0.6990, 0.3010, 0.9043)  1 Sb 3.08, 3 Pr 3.17-3.22
Te (0.7133, 0.2868, 0.2500)  2 Sb 3.19, 2 Pr 3.23
Te (0.9604, 0.0396, 0.6003)  1 Sb 2.93, 2 Pr 3.17, 1 Te 3.20
Te (0.9604, 0.0396, 0.8997)  1 Sb 2.93, 2 Pr 3.17, 1 Te 3.20